No. 1
TaFeCuB GGA-PBE optimized geometry; offset from the most stable computed form = 70 meV per atom; E = -7.308 eV/atom; calculated volume = 11.93 Å³ per atom
1.0
0.000 2.879 2.879
2.879 0.000 2.879
2.879 2.879 0.000
Ta Fe Cu B
1 1 1 1
Direct
0.000 0.000 0.000 Ta
0.750 0.750 0.750 Fe
0.500 0.500 0.500 Cu
0.250 0.250 0.250 B

No. 2
FeCuTcB GGA-PBE optimized geometry; offset from the most stable computed form = 0 meV per atom; E = -6.873 eV/atom; calculated volume = 10.99 Å³ per atom
1.0
0.000 2.801 2.801
2.801 0.000 2.801
2.801 2.801 0.000
Fe Cu Tc B
1 1 1 1
Direct
0.000 0.000 0.000 Fe
0.750 0.750 0.750 Cu
0.250 0.250 0.250 Tc
0.500 0.500 0.500 B

No. 3
ZnFeCu4B2 GGA-PBE optimized geometry; E = -4.254 eV/atom; calculated volume = 10.62 Å³ per atom
1.0
3.631 0.000 0.000
0.000 3.631 0.000
0.000 0.000 6.443
Zn Fe Cu B
1 1 4 2
Direct
0.000 0.000 0.000 Zn
0.500 0.500 0.500 Fe
0.000 0.500 0.249 Cu
0.000 0.500 0.751 Cu
0.500 0.000 0.249 Cu
0.500 0.000 0.751 Cu
0.000 0.000 0.500 B
0.500 0.500 0.000 B

No. 4
ZrFeCuB GGA-PBE optimized geometry; offset from the most stable computed form = 54 meV per atom; E = -6.415 eV/atom; calculated volume = 12.83 Å³ per atom
1.0
0.000 2.949 2.949
2.949 0.000 2.949
2.949 2.949 0.000
Zr Fe Cu B
1 1 1 1
Direct
0.000 0.000 0.000 Zr
0.250 0.250 0.250 Fe
0.750 0.750 0.750 Cu
0.500 0.500 0.500 B

No. 5
ZrFeCuB GGA-PBE optimized geometry; offset from the most stable computed form = 0 meV per atom; E = -6.468 eV/atom; calculated volume = 13.10 Å³ per atom
1.0
0.000 2.970 2.970
2.970 0.000 2.970
2.970 2.970 0.000
Zr Fe Cu B
1 1 1 1
Direct
0.000 0.000 0.000 Zr
0.750 0.750 0.750 Fe
0.500 0.500 0.500 Cu
0.250 0.250 0.250 B

No. 6
GaCuB4 GGA-PBE optimized geometry; offset from the most stable computed form = 0 meV per atom; E = -5.248 eV/atom; calculated volume = 8.95 Å³ per atom
1.0
3.038 0.000 0.000
-1.519 2.631 0.000
0.000 0.000 6.719
Ga Cu B
1 1 4
Direct
0.000 0.000 0.000 Ga
0.000 0.000 0.500 Cu
0.333 0.667 0.256 B
0.333 0.667 0.744 B
0.667 0.333 0.256 B
0.667 0.333 0.744 B